# KMnHg2As, optimized geometry, DFT PBE
# total DFT energy (no corrections) = -15.7 eV/cell
# density = 7.504 Mg/m³
# magnetic moment = 0.72 μB per formula unit
# formation energy from the elements = -0.0428 eV/atom
# V = 126.2 Å³ per cell
data_KMnHg2As
_symmetry_space_group_name_H-M 'P 4/m m m'
_symmetry_Int_Tables_number 123
_symmetry_space_group_name_Hall '-P 4 2'
_cell_length_a 5.2846
_cell_length_b 5.2846
_cell_length_c 4.5178
_cell_angle_alpha 90.00
_cell_angle_beta 90.00
_cell_angle_gamma 90.00
loop_
_atom_site_label
_atom_site_fract_x
_atom_site_fract_y
_atom_site_fract_z
_atom_site_occupancy
K1 0.0000 0.0000 0.0000 1
Mn1 0.5000 0.5000 0.5000 1
Hg1 0.0000 0.5000 0.5000 1
As1 0.5000 0.5000 0.0000 1